VASP calculation (GGA-PBE) on crystalline Na2TmPuSe4 at its relaxed geometry.

abc: 4.1585 7.2148 7.3689
angles: 109.09 90.00 90.00
With the nearest neighbours (Å) after each atom.
Fractional coordinates of all 8 atoms:
Se (0.0000, 0.7363, 0.2286)  2 Tm 2.86, 1 Pu 2.92, 3 Na 3.02-3.07
Se (0.5000, 0.2487, 0.2290)  1 Tm 2.85, 2 Pu 2.90, 3 Na 3.04-3.09
Se (0.0000, 0.2637, 0.7714)  2 Tm 2.86, 1 Pu 2.92, 3 Na 3.02-3.07
Se (0.5000, 0.7513, 0.7710)  1 Tm 2.85, 2 Pu 2.90, 3 Na 3.04-3.09
Na (0.5000, 0.0000, 0.5000)  6 Se 3.07-3.09
Na (0.0000, 0.5000, 0.5000)  6 Se 3.02-3.04
Tm (0.5000, 0.5000, 0.0000)  6 Se 2.85-2.86
Pu (0.0000, 0.0000, 0.0000)  6 Se 2.90-2.92

Calculated values
As for the symmetry: P2/m (10). The calculation puts the total energy at -5.96 eV/atom. The value obtained for the formation energy without anion corrections is -1538.7 meV/atom.